# 1
Below is crystalline RbSr2Zr at its relaxed geometry, with properties calculated at the PBE level.

```
4
Lattice="0.000 4.501 4.501 4.501 0.000 4.501 4.501 4.501 0.000" Properties=species:S:1:pos:R:3 pbc="T T T"
Rb 0.000 0.000 0.000
Sr 2.251 2.251 2.251
Sr 6.752 6.752 6.752
Zr 4.501 4.501 4.501
```

Results
magnetic moment	3.18	μB per cell
VASP energy	-2.48	eV per atom
space group	Fm-3m, No. 225
DOS(E_F)	2.907	states/eV per atom
DFT formation energy	0.74	eV/atom

---

# 2
Below is crystalline CoCuPt2 at its relaxed geometry, with properties calculated at the PBE level.

```
4
Lattice="-1.881 1.881 3.906 1.881 -1.881 3.906 1.881 1.881 -3.906" Properties=species:S:1:pos:R:3 pbc="T T T"
Co 0.000 0.000 0.000
Cu 1.881 0.000 1.953
Pt 0.000 0.000 3.906
Pt 0.000 1.881 1.953
```

Results
magnetic moment	2.44	μB per cell
VASP energy	-5.87	eV per atom
space group	I-4m2, No. 119
DOS(E_F)	1.056	states/eV per atom
DFT formation energy	-0.05	eV/atom

---

# 3
Below is crystalline Sr3In3Ir2 at its relaxed geometry, with properties calculated at the PBE level.

```
16
Lattice="2.253 -5.834 0.000 2.253 5.834 0.000 0.000 0.000 16.832" Properties=species:S:1:pos:R:3 pbc="T T T"
Sr 2.253 5.097 10.211
Sr 2.253 5.097 15.037
Sr 2.253 1.681 12.624
Sr 2.253 -1.681 4.208
Sr 2.253 -5.097 1.795
Sr 2.253 -5.097 6.621
In 2.253 1.809 9.012
In 2.253 1.809 16.235
In 2.253 1.785 4.208
In 2.253 -1.785 12.624
In 2.253 -1.809 0.596
In 2.253 -1.809 7.820
Ir 2.253 3.190 1.883
Ir 2.253 3.190 6.533
Ir 2.253 -3.190 10.299
Ir 2.253 -3.190 14.949
```

Results
magnetic moment	0.00	μB per cell
VASP energy	-4.25	eV per atom
space group	Cmcm, No. 63
DOS(E_F)	0.744	states/eV per atom
DFT formation energy	-0.37	eV/atom

---

# 4
Below is crystalline BRh2O at its relaxed geometry, with properties calculated at the PBE level.

```
8
Lattice="-2.345 2.345 4.744 2.345 -2.345 4.744 2.345 2.345 -4.744" Properties=species:S:1:pos:R:3 pbc="T T T"
B 0.000 0.000 0.000
B 0.000 2.345 2.372
Rh 3.517 1.089 -1.186
Rh 1.089 1.172 1.186
Rh -1.172 1.256 3.558
Rh 1.256 1.172 5.930
O 2.345 0.000 2.372
O 0.000 0.000 4.744
```

Results
magnetic moment	0.00	μB per cell
formation energy from raw total energies	-0.079	eV per atom
VASP energy	-6.66	eV per atom
space group	I-42d, No. 122
DOS(E_F)	1.305	states/eV per atom

---

# 5
Below is crystalline Th8GeSb4As3 at its relaxed geometry, with properties calculated at the PBE level.

```
16
Lattice="4.361 2.518 7.254 -4.361 2.518 7.254 0.000 -5.036 7.254" Properties=species:S:1:pos:R:3 pbc="T T T"
Th 0.000 0.000 5.259
Th -2.176 -1.256 12.517
Th 0.000 -2.513 9.246
Th -2.176 1.256 9.246
Th 2.176 -1.256 12.517
Th 0.000 2.513 12.517
Th 2.176 1.256 9.246
Th 0.000 0.000 16.504
Ge 0.000 0.000 10.882
Sb 0.000 0.000 0.000
Sb -2.181 -1.259 7.254
Sb -2.181 1.259 14.509
Sb 0.000 2.518 7.254
As -4.361 0.000 10.882
As -2.181 1.259 3.627
As 2.181 1.259 3.627
```

Results
magnetic moment	0.00	μB per cell
formation energy from raw total energies	-1.088	eV per atom
VASP energy	-6.99	eV per atom
space group	R-3m, No. 166
DOS(E_F)	0.511	states/eV per atom

---

# 6
Below is crystalline ErIn2Ge at its relaxed geometry, with properties calculated at the PBE level.

```
4
Lattice="4.328 0.000 0.000 0.000 4.328 0.000 0.000 0.000 4.913" Properties=species:S:1:pos:R:3 pbc="T T T"
Er 0.000 0.000 0.000
In 0.000 2.164 2.457
In 2.164 0.000 2.457
Ge 2.164 2.164 0.000
```

Results
magnetic moment	0.00	μB per cell
VASP energy	-4.04	eV per atom
space group	P4/mmm, No. 123
DOS(E_F)	0.386	states/eV per atom
DFT formation energy	-0.38	eV/atom

---

# 7
Below is crystalline Nd5Sm3Ho2 at its relaxed geometry, with properties calculated at the PBE level.

```
20
Lattice="6.088 -8.171 0.000 6.088 8.171 0.000 -0.422 0.000 6.797" Properties=species:S:1:pos:R:3 pbc="T T T"
Nd 5.771 7.475 5.098
Nd 3.053 0.678 0.008
Nd 4.416 2.500 2.563
Nd 2.841 -0.678 3.407
Nd 7.549 2.500 0.836
Nd 4.205 -2.500 5.962
Nd 8.913 0.678 3.390
Nd 7.338 -2.500 4.234
Nd 8.701 -0.678 6.789
Nd 5.983 -7.475 1.699
Sm 4.405 5.694 2.532
Sm 7.560 5.694 0.867
Sm 5.771 0.670 5.098
Sm 5.983 -0.670 1.699
Sm 4.194 -5.694 5.930
Sm 7.349 -5.694 4.265
Ho 4.198 4.090 5.944
Ho 7.345 4.090 4.252
Ho 4.409 -4.090 2.545
Ho 7.557 -4.090 0.853
```

Results
magnetic moment	0.00	μB per cell
VASP energy	-4.67	eV per atom
space group	C2/c, No. 15
DOS(E_F)	1.527	states/eV per atom
DFT formation energy	0.05	eV/atom

---

# 8
Below is crystalline PmSmHo3 at its relaxed geometry, with properties calculated at the PBE level.

```
10
Lattice="6.298 0.000 0.000 0.004 6.754 0.000 3.149 1.873 7.664" Properties=species:S:1:pos:R:3 pbc="T T T"
Pm 2.629 3.093 3.049
Pm 6.822 5.535 4.616
Sm 3.681 4.535 6.144
Sm 5.770 4.092 1.520
Ho 2.631 7.926 6.134
Ho 3.684 6.499 3.061
Ho 2.628 5.090 0.006
Ho 6.823 3.537 7.659
Ho 5.767 2.128 4.603
Ho 6.820 0.702 1.530
```

Results
magnetic moment	0.00	μB per cell
VASP energy	-4.63	eV per atom
space group	P-1, No. 2
DOS(E_F)	1.768	states/eV per atom
DFT formation energy	0.02	eV/atom

---

# 9
Below is crystalline Be2Pd8Au at its relaxed geometry, with properties calculated at the PBE level.

```
11
Lattice="-1.879 3.442 6.257 1.879 -3.442 6.257 1.879 3.442 -6.257" Properties=species:S:1:pos:R:3 pbc="T T T"
Be 0.000 0.000 2.615
Be 0.000 0.000 9.898
Pd 1.879 1.416 -2.034
Pd 0.000 1.310 0.000
Pd 1.879 0.000 4.300
Pd 1.879 1.416 2.034
Pd 0.000 2.026 4.223
Pd 0.000 3.442 1.956
Pd 0.000 5.575 0.000
Pd 0.000 2.026 8.290
Au 0.000 0.000 6.257
```

Results
magnetic moment	0.00	μB per cell
VASP energy	-4.93	eV per atom
space group	Immm, No. 71
DOS(E_F)	0.950	states/eV per atom
DFT formation energy	-0.17	eV/atom

---

# 10
Below is crystalline Pu2UZn at its relaxed geometry, with properties calculated at the PBE level.

```
4
Lattice="1.461 0.843 11.851 -1.461 0.843 11.851 0.000 -1.687 11.851" Properties=species:S:1:pos:R:3 pbc="T T T"
Pu 0.000 0.000 3.013
Pu 0.000 0.000 32.541
U 0.000 0.000 17.777
Zn 0.000 0.000 0.000
```

Results
magnetic moment	8.49	μB per cell
VASP energy	-9.85	eV per atom
space group	R-3m, No. 166
DOS(E_F)	3.599	states/eV per atom
DFT formation energy	0.46	eV/atom

---

# 11
Below is crystalline SmY3Th4As8 at its relaxed geometry, with properties calculated at the PBE level.

```
16
Lattice="4.214 2.433 6.823 -4.214 2.433 6.823 0.000 -4.866 6.823" Properties=species:S:1:pos:R:3 pbc="T T T"
Sm 0.000 0.000 0.000
Y -2.107 -1.216 6.823
Y -2.107 1.216 13.646
Y 0.000 2.433 6.823
Th -4.214 0.000 10.234
Th -2.107 1.216 3.411
Th 2.107 1.216 3.411
Th 0.000 0.000 10.234
As 0.000 -2.416 8.494
As -2.093 1.208 8.494
As 0.000 0.000 5.163
As -2.093 -1.208 11.974
As 2.093 1.208 8.494
As 0.000 0.000 15.305
As 2.093 -1.208 11.974
As 0.000 2.416 11.974
```

Results
magnetic moment	0.00	μB per cell
VASP energy	-7.17	eV per atom
space group	R-3m, No. 166
DOS(E_F)	0.482	states/eV per atom
DFT formation energy	-1.48	eV/atom

---

# 12
Below is crystalline Pm4GaCu at its relaxed geometry, with properties calculated at the PBE level.

```
12
Lattice="5.291 0.000 0.000 0.000 7.157 0.000 -1.202 0.000 8.600" Properties=species:S:1:pos:R:3 pbc="T T T"
Pm 0.787 1.789 0.471
Pm 0.635 5.368 3.251
Pm 0.824 3.709 6.237
Pm 0.824 7.027 6.237
Pm 3.265 0.130 2.364
Pm 3.265 3.448 2.364
Pm 3.454 1.789 5.350
Pm 3.302 5.368 8.129
Ga 0.745 1.789 3.581
Ga 3.345 5.368 5.020
Cu 1.814 5.368 0.482
Cu 2.275 1.789 8.118
```

Results
magnetic moment	0.00	μB per cell
VASP energy	-4.56	eV per atom
space group	P2_1/m, No. 11
DOS(E_F)	0.946	states/eV per atom
DFT formation energy	-0.21	eV/atom

---

# 13
Below is crystalline BSb2Br at its relaxed geometry, with properties calculated at the PBE level.

```
8
Lattice="-3.356 3.356 4.799 3.356 -3.356 4.799 3.356 3.356 -4.799" Properties=species:S:1:pos:R:3 pbc="T T T"
B 0.000 0.000 0.000
B 0.000 3.356 2.400
Sb 5.034 1.026 -1.200
Sb 1.026 1.678 1.200
Sb -1.678 2.330 3.600
Sb 2.330 1.678 5.999
Br 3.356 0.000 2.400
Br 0.000 0.000 4.799
```

Results
magnetic moment	0.00	μB per cell
formation energy from raw total energies	0.511	eV per atom
VASP energy	-3.64	eV per atom
space group	I-42d, No. 122
DOS(E_F)	0.403	states/eV per atom

---

# 14
Below is crystalline CdRu at its relaxed geometry, with properties calculated at the PBE level.

```
2
Lattice="0.000 3.047 3.047 3.047 0.000 3.047 3.047 3.047 0.000" Properties=species:S:1:pos:R:3 pbc="T T T"
Cd 0.000 0.000 0.000
Ru 4.571 4.571 4.571
```

Results
magnetic moment	1.97	μB per cell
VASP energy	-3.20	eV per atom
space group	F-43m, No. 216
DOS(E_F)	1.007	states/eV per atom
DFT formation energy	1.90	eV/atom

---

# 15
Below is crystalline BeCd2Ag at its relaxed geometry, with properties calculated at the PBE level.

```
4
Lattice="2.990 0.000 0.000 0.000 4.322 0.000 -1.464 0.000 5.404" Properties=species:S:1:pos:R:3 pbc="T T T"
Be 0.000 0.000 0.000
Cd 0.019 0.000 2.863
Cd 1.493 2.161 1.161
Ag 1.521 2.161 4.136
```

Results
magnetic moment	0.00	μB per cell
VASP energy	-1.87	eV per atom
space group	Pm, No. 6
DOS(E_F)	0.330	states/eV per atom
DFT formation energy	0.23	eV/atom

---

# 16
Below is crystalline Mg2GeH at its relaxed geometry, with properties calculated at the PBE level.

```
4
Lattice="1.731 0.999 6.257 -1.731 0.999 6.257 0.000 -1.999 6.257" Properties=species:S:1:pos:R:3 pbc="T T T"
Mg 0.000 0.000 4.361
Mg 0.000 0.000 14.410
Ge 0.000 0.000 0.000
H 0.000 0.000 9.385
```

Results
magnetic moment	0.00	μB per cell
VASP energy	-2.72	eV per atom
space group	R-3m, No. 166
DOS(E_F)	0.513	states/eV per atom

---

# 17
Below is crystalline ZrGeF2 at its relaxed geometry, with properties calculated at the PBE level.

```
4
Lattice="1.470 0.849 10.082 -1.470 0.849 10.082 0.000 -1.698 10.082" Properties=species:S:1:pos:R:3 pbc="T T T"
Zr 0.000 0.000 0.000
Ge 0.000 0.000 15.122
F 0.000 0.000 11.602
F 0.000 0.000 18.643
```

Results
magnetic moment	0.00	μB per cell
formation energy from raw total energies	-1.834	eV per atom
VASP energy	-6.06	eV per atom
space group	R-3m, No. 166
DOS(E_F)	0.388	states/eV per atom

---

# 18
Below is crystalline K2HgBO4 at its relaxed geometry, with properties calculated at the PBE level.

```
8
Lattice="5.318 0.000 0.000 -0.557 5.294 0.000 -2.543 -2.496 4.326" Properties=species:S:1:pos:R:3 pbc="T T T"
K 0.000 0.000 0.000
K -0.229 2.866 2.160
Hg 2.808 0.334 2.160
B -0.296 0.001 4.320
O -1.801 0.158 4.106
O 0.356 0.415 3.069
O 2.561 1.018 0.214
O 2.596 3.195 1.239
```

Results
magnetic moment	1.03	μB per cell
formation energy from raw total energies	-1.350	eV per atom
VASP energy	-4.98	eV per atom
space group	P1, No. 1
DOS(E_F)	0.531	states/eV per atom

---

# 19
Below is crystalline Sb2OsW at its relaxed geometry, with properties calculated at the PBE level.

```
4
Lattice="4.665 0.000 0.000 0.000 4.665 0.000 0.000 0.000 3.288" Properties=species:S:1:pos:R:3 pbc="T T T"
Sb 0.000 2.333 0.000
Sb 2.333 0.000 0.000
Os 0.000 0.000 1.644
W 2.333 2.333 1.644
```

Results
magnetic moment	0.00	μB per cell
formation energy from raw total energies	0.570	eV per atom
VASP energy	-7.54	eV per atom
space group	P4/mmm, No. 123
DOS(E_F)	0.556	states/eV per atom

---

# 20
Below is crystalline AsHPd2Pt at its relaxed geometry, with properties calculated at the PBE level.

```
5
Lattice="3.857 0.000 0.000 0.000 3.857 0.000 0.000 0.000 4.532" Properties=species:S:1:pos:R:3 pbc="T T T"
As 0.000 0.000 0.000
H 0.000 0.000 2.266
Pd 0.000 1.929 2.266
Pd 1.929 0.000 2.266
Pt 1.929 1.929 0.000
```

Results
magnetic moment	0.00	μB per cell
VASP energy	-4.82	eV per atom
space group	P4/mmm, No. 123
DOS(E_F)	0.923	states/eV per atom

---

# 21
Below is crystalline SmY3Pu2Te6 at its relaxed geometry, with properties calculated at the PBE level.

```
12
Lattice="9.605 -2.191 0.000 9.605 2.191 0.000 -2.086 0.000 8.584" Properties=species:S:1:pos:R:3 pbc="T T T"
Sm 0.000 0.000 0.000
Y -1.043 0.000 4.292
Y 6.072 0.000 1.427
Y 11.053 0.000 7.156
Pu 5.025 0.000 5.730
Pu 12.100 0.000 2.854
Te 1.967 0.000 5.027
Te 3.064 0.000 0.698
Te 9.055 0.000 2.181
Te 8.070 0.000 6.403
Te 14.061 0.000 7.886
Te 15.158 0.000 3.556
```

Results
magnetic moment	12.05	μB per cell
formation energy from raw total energies	-1.275	eV per atom
VASP energy	-7.24	eV per atom
space group	C2/m, No. 12
DOS(E_F)	1.937	states/eV per atom

---

# 22
Below is crystalline MoIrPt2 at its relaxed geometry, with properties calculated at the PBE level.

```
4
Lattice="4.642 -1.387 0.000 4.642 1.387 0.000 -0.835 0.000 4.748" Properties=species:S:1:pos:R:3 pbc="T T T"
Mo 0.000 0.000 0.000
Ir 6.707 0.000 1.101
Pt 1.705 0.000 3.531
Pt 4.179 0.000 2.327
```

Results
magnetic moment	0.00	μB per cell
VASP energy	-8.12	eV per atom
space group	Cm, No. 8
DOS(E_F)	1.202	states/eV per atom
DFT formation energy	-0.18	eV/atom

---

# 23
Below is crystalline Li2TiAu6 at its relaxed geometry, with properties calculated at the PBE level.

```
18
Lattice="6.528 -4.796 0.000 6.528 4.796 0.000 -0.767 0.000 4.885" Properties=species:S:1:pos:R:3 pbc="T T T"
Li 2.163 1.157 0.408
Li 1.780 -1.157 2.850
Li 10.510 1.157 2.035
Li 10.127 -1.157 4.477
Ti 5.953 1.254 3.664
Ti 6.336 -1.254 1.221
Au 5.400 3.619 2.339
Au 3.157 1.297 3.213
Au 7.273 3.619 0.103
Au 4.950 1.159 0.967
Au 3.541 -1.297 0.771
Au 7.723 1.159 1.476
Au 4.567 -1.159 3.409
Au 8.749 1.297 4.114
Au 7.340 -1.159 3.918
Au 5.017 -3.619 4.782
Au 9.132 -1.297 1.672
Au 6.889 -3.619 2.545
```

Results
magnetic moment	0.00	μB per cell
VASP energy	-3.86	eV per atom
space group	C2/c, No. 15
DOS(E_F)	0.451	states/eV per atom
DFT formation energy	-0.37	eV/atom

---

# 24
Below is crystalline TlP at its relaxed geometry, with properties calculated at the PBE level.

```
2
Lattice="0.000 2.844 2.844 2.844 0.000 2.844 2.844 2.844 0.000" Properties=species:S:1:pos:R:3 pbc="T T T"
Tl 0.000 0.000 0.000
P 2.844 2.844 2.844
```

Results
magnetic moment	0.00	μB per cell
VASP energy	-3.50	eV per atom
space group	Fm-3m, No. 225
DOS(E_F)	0.461	states/eV per atom
DFT formation energy	0.39	eV/atom